## ReSnO2F (GGA-PBE)

Data for crystalline ReSnO2F at its relaxed geometry.

**Energy relative to the elements, uncorrected**: -0.0394 eV/atom
**Density of states at the Fermi level**: 1.6 states/eV/cell
**Crystal system**: tetragonal
**Symmetry**: P4/mmm (123)
**Raw total energy**: -5.687 eV per atom

Lattice parameters (Å, degrees): 4.167 4.167 4.341 90.00 90.00 90.00
Positions (direct):
Re  0.000  0.000  0.000
Sn  0.500  0.500  0.500
O  0.000  0.500  0.500
O  0.500  0.000  0.500
F  0.500  0.500  0.000

=====

## SrReOF2 (GGA-PBE)

Data for crystalline SrReOF2 at its relaxed geometry.

**Energy relative to the elements, uncorrected**: -1.5602 eV/atom
**Density of states at the Fermi level**: 2.6 states/eV/cell
**Crystal system**: tetragonal
**Symmetry**: P4/mmm (123)
**Raw total energy**: -6.126 eV per atom

Lattice parameters (Å, degrees): 4.597 4.597 3.806 90.00 90.00 90.00
Positions (direct):
Sr  0.000  0.000  0.000
Re  0.500  0.500  0.500
O  0.500  0.500  0.000
F  0.000  0.500  0.500
F  0.500  0.000  0.500

=====

## SrReO2F (GGA-PBE)

Data for crystalline SrReO2F at its relaxed geometry.

**Energy relative to the elements, uncorrected**: -0.0208 eV/atom
**Density of states at the Fermi level**: 4.9 states/eV/cell
**Crystal system**: tetragonal
**Symmetry**: P4/mmm (123)
**Raw total energy**: -5.204 eV per atom

Lattice parameters (Å, degrees): 4.646 4.646 4.453 90.00 90.00 90.00
Positions (direct):
Sr  0.000  0.000  0.000
Re  0.500  0.500  0.500
O  0.000  0.500  0.000
O  0.500  0.000  0.000
F  0.000  0.000  0.500

=====

## SrReO2F (GGA-PBE)

Data for crystalline SrReO2F at its relaxed geometry.

**Energy relative to the elements, uncorrected**: -1.8909 eV/atom
**Density of states at the Fermi level**: 2.7 states/eV/cell
**Crystal system**: tetragonal
**Symmetry**: P4/mmm (123)
**Raw total energy**: -7.074 eV per atom

Lattice parameters (Å, degrees): 3.776 3.776 6.036 90.00 90.00 90.00
Positions (direct):
Sr  0.000  0.000  0.000
Re  0.500  0.500  0.500
O  0.000  0.500  0.500
O  0.500  0.000  0.500
F  0.500  0.500  0.000

=====

## SrReO4F (GGA-PBE)

Data for crystalline SrReO4F at its relaxed geometry.

**Energy relative to the elements, uncorrected**: -2.3770 eV/atom
**Density of states at the Fermi level**: 0.0 states/eV/cell
**Crystal system**: monoclinic
**Symmetry**: C2/m (12)
**Raw total energy**: -7.496 eV per atom

Lattice parameters (Å, degrees): 6.435 6.435 7.511 103.23 103.23 77.03
Positions (direct):
Sr  0.190  0.190  0.123
Sr  0.810  0.810  0.877
Re  0.353  0.353  0.731
Re  0.647  0.647  0.269
O  0.126  0.481  0.835
O  0.274  0.274  0.491
O  0.467  0.467  0.224
O  0.481  0.126  0.835
O  0.519  0.874  0.165
O  0.533  0.533  0.776
O  0.726  0.726  0.509
O  0.874  0.519  0.165
F  0.028  0.028  0.828
F  0.972  0.972  0.172

=====

## Sr3ReO6F2 (GGA-PBE)

Data for crystalline Sr3ReO6F2 at its relaxed geometry.

**Energy relative to the elements, uncorrected**: -2.4318 eV/atom
**Density of states at the Fermi level**: 2.9 states/eV/cell
**Crystal system**: monoclinic
**Symmetry**: C2/m (12)
**Raw total energy**: -6.681 eV per atom

Lattice parameters (Å, degrees): 6.954 6.954 5.153 90.40 90.40 59.78
Positions (direct):
Sr  0.000  0.000  0.000
Sr  0.000  0.500  0.500
Sr  0.500  0.000  0.500
Re  0.500  0.500  0.500
O  0.238  0.642  0.711
O  0.358  0.762  0.289
O  0.366  0.366  0.310
O  0.634  0.634  0.690
O  0.642  0.238  0.711
O  0.762  0.358  0.289
F  0.168  0.168  0.757
F  0.832  0.832  0.243

=====

## SrReOF2 (GGA-PBE)

Data for crystalline SrReOF2 at its relaxed geometry.

**Energy relative to the elements, uncorrected**: -0.7468 eV/atom
**Density of states at the Fermi level**: 1.4 states/eV/cell
**Crystal system**: tetragonal
**Symmetry**: P4/mmm (123)
**Raw total energy**: -5.313 eV per atom

Lattice parameters (Å, degrees): 4.505 4.505 4.988 90.00 90.00 90.00
Positions (direct):
Sr  0.000  0.000  0.000
Re  0.500  0.500  0.500
O  0.000  0.000  0.500
F  0.000  0.500  0.000
F  0.500  0.000  0.000

=====

## TbReO4F (GGA-PBE)

Data for crystalline TbReO4F at its relaxed geometry.

**Energy relative to the elements, uncorrected**: -2.4869 eV/atom
**Density of states at the Fermi level**: 3.4 states/eV/cell
**Crystal system**: monoclinic
**Symmetry**: C2/m (12)
**Raw total energy**: -8.027 eV per atom

Lattice parameters (Å, degrees): 6.040 6.040 7.049 103.50 103.50 72.41
Positions (direct):
Tb  0.199  0.199  0.089
Tb  0.801  0.801  0.911
Re  0.354  0.354  0.705
Re  0.646  0.646  0.295
O  0.111  0.469  0.851
O  0.256  0.256  0.454
O  0.459  0.459  0.236
O  0.469  0.111  0.851
O  0.531  0.889  0.149
O  0.541  0.541  0.764
O  0.744  0.744  0.546
O  0.889  0.531  0.149
F  0.008  0.008  0.827
F  0.992  0.992  0.173